Record 1
First-principles (PBE-GGA) data for a geometry-optimized VInAsBr2 structure, as listed in the Alexandria database.

The structure in POSCAR format:
```
VInAsBr2
1.0
-4.880 -0.561 -1.953
-0.822 -4.102 3.231
-1.710 3.024 3.405
As V In Br
1 1 1 2
Direct
0.000 0.000 0.500
0.000 0.000 0.000
0.500 0.500 0.500
0.000 0.500 0.000
0.500 0.000 0.000
```

Raw formation energy in eV per formula unit: -1.0
SG: P4/mmm

=====

Record 2
First-principles (PBE-GGA) data for a geometry-optimized InAs2WBr structure, as listed in the Alexandria database.

The structure in POSCAR format:
```
InAs2WBr
1.0
-4.609 1.525 -0.430
-1.118 -2.192 4.207
1.291 4.688 2.786
Br As In W
1 2 1 1
Direct
0.000 0.000 0.500
0.000 0.500 0.000
0.500 0.000 0.000
0.500 0.500 0.500
0.000 0.000 0.000
```

Raw formation energy in eV per formula unit: 1.4
SG: P4/mmm

=====

Record 3
First-principles (PBE-GGA) data for a geometry-optimized YInAs2Br structure, as listed in the Alexandria database.

The structure in POSCAR format:
```
YInAs2Br
1.0
5.179 0.000 0.000
0.000 5.179 0.000
0.000 0.000 5.347
As Y In Br
2 1 1 1
Direct
0.500 0.000 0.000
0.000 0.500 0.000
0.500 0.500 0.500
0.000 0.000 0.000
0.000 0.000 0.500
```

Raw formation energy in eV per formula unit: 0.2
SG: P4/mmm

=====

Record 4
First-principles (PBE-GGA) data for a geometry-optimized YInAs2Br structure, as listed in the Alexandria database.

The structure in POSCAR format:
```
YInAs2Br
1.0
5.515 0.000 0.000
0.000 5.515 0.000
0.000 0.000 5.614
In Y As Br
1 1 2 1
Direct
0.500 0.500 0.500
0.000 0.000 0.000
0.000 0.500 0.000
0.500 0.000 0.000
0.000 0.000 0.500
```

Raw formation energy in eV per formula unit: -1.0
SG: P4/mmm

=====

Record 5
First-principles (PBE-GGA) data for a geometry-optimized ZnInAsBr2 structure, as listed in the Alexandria database.

The structure in POSCAR format:
```
ZnInAsBr2
1.0
5.533 0.000 0.000
0.000 5.533 0.000
0.000 0.000 5.520
Br As Zn In
2 1 1 1
Direct
0.000 0.500 0.000
0.500 0.000 0.000
0.000 0.000 0.500
0.500 0.500 0.500
0.000 0.000 0.000
```

Raw formation energy in eV per formula unit: 0.9
SG: P4/mmm

=====

Record 6
First-principles (PBE-GGA) data for a geometry-optimized ZnInAsBr2 structure, as listed in the Alexandria database.

The structure in POSCAR format:
```
ZnInAsBr2
1.0
-0.125 1.895 5.161
3.213 -4.164 1.606
3.993 2.731 -0.906
Br Zn In As
2 1 1 1
Direct
0.500 0.000 0.000
0.000 0.500 0.000
0.000 0.000 0.000
0.500 0.500 0.500
0.000 0.000 0.500
```

Raw formation energy in eV per formula unit: -0.4
SG: P4/mmm

=====

Record 7
First-principles (PBE-GGA) data for a geometry-optimized ZnInAsBr2 structure, as listed in the Alexandria database.

The structure in POSCAR format:
```
ZnInAsBr2
1.0
5.704 0.000 0.000
0.000 5.396 0.000
0.000 0.000 5.704
Br In Zn As
2 1 1 1
Direct
0.000 0.000 0.500
0.500 0.000 0.000
0.000 0.000 0.000
0.000 0.500 0.000
0.500 0.500 0.500
```

Raw formation energy in eV per formula unit: 1.7
SG: P4/mmm

=====

Record 8
First-principles (PBE-GGA) data for a geometry-optimized ZrInAsBr2 structure, as listed in the Alexandria database.

The structure in POSCAR format:
```
ZrInAsBr2
1.0
-4.417 -2.676 1.673
-1.643 -0.508 -5.149
2.614 -4.555 -0.385
In As Br Zr
1 1 2 1
Direct
0.500 0.500 0.500
0.000 0.000 0.500
0.500 0.000 0.000
0.000 0.500 0.000
0.000 0.000 0.000
```

Raw formation energy in eV per formula unit: -2.7
SG: P4/mmm

=====

Record 9
First-principles (PBE-GGA) data for a geometry-optimized ZrInAsBr2 structure, as listed in the Alexandria database.

The structure in POSCAR format:
```
ZrInAsBr2
1.0
-4.166 3.060 -1.182
-2.990 -4.328 -0.667
-1.365 0.144 5.183
In Br Zr As
1 2 1 1
Direct
0.000 0.000 0.000
0.000 0.500 0.000
0.500 0.000 0.000
0.500 0.500 0.500
0.000 0.000 0.500
```

Raw formation energy in eV per formula unit: 2.1
SG: P4/mmm

=====

Record 10
First-principles (PBE-GGA) data for a geometry-optimized AsIr2Br structure, as listed in the Alexandria database.

The structure in POSCAR format:
```
AsIr2Br
1.0
-2.065 -1.621 -1.628
-0.947 -2.537 3.729
-3.293 2.992 1.199
Ir As Br
2 1 1
Direct
0.000 0.500 0.500
0.000 0.000 0.000
0.500 0.500 0.000
0.500 0.000 0.500
```

Raw formation energy in eV per formula unit: 3.4
SG: P4/mmm

=====

Record 11
First-principles (PBE-GGA) data for a geometry-optimized AsIrBr structure, as listed in the Alexandria database.

The structure in POSCAR format:
```
AsIrBr
1.0
4.489 0.000 0.000
2.244 3.887 0.000
2.244 1.296 3.665
Ir Br As
1 1 1
Direct
0.500 0.500 0.500
0.000 0.000 0.000
0.750 0.750 0.750
```

Raw formation energy in eV per formula unit: 3.1
SG: F-43m

=====

Record 12
First-principles (PBE-GGA) data for a geometry-optimized AsIr2Br structure, as listed in the Alexandria database.

The structure in POSCAR format:
```
AsIr2Br
1.0
-2.805 0.723 4.455
-5.095 -1.503 0.116
4.690 -2.052 -1.423
Ir Br As
2 1 1
Direct
0.250 0.750 0.500
0.000 0.000 0.000
0.750 0.250 0.500
0.500 0.500 0.000
```

Raw formation energy in eV per formula unit: 3.7
SG: I-4m2

=====

Record 13
First-principles (PBE-GGA) data for a geometry-optimized AsIrBr3 structure, as listed in the Alexandria database.

The structure in POSCAR format:
```
AsIrBr3
1.0
5.318 0.000 0.000
0.000 5.318 0.000
0.000 0.000 5.318
Br As Ir
3 1 1
Direct
0.500 0.000 0.000
0.000 0.500 0.000
0.000 0.000 0.500
0.000 0.000 0.000
0.500 0.500 0.500
```

Raw formation energy in eV per formula unit: 5.4
SG: Pm-3m

=====

Record 14
First-principles (PBE-GGA) data for a geometry-optimized AsIr2Br structure, as listed in the Alexandria database.

The structure in POSCAR format:
```
AsIr2Br
1.0
-2.146 2.493 1.597
-3.257 -2.366 -0.683
0.057 -3.419 5.413
Br As Ir
1 1 2
Direct
0.500 0.794 0.842
0.000 0.437 0.389
0.500 0.357 0.163
0.000 0.912 0.105
```

Raw formation energy in eV per formula unit: 1.2
SG: Pm

=====

Record 15
First-principles (PBE-GGA) data for a geometry-optimized AsIr2Br structure, as listed in the Alexandria database.

The structure in POSCAR format:
```
AsIr2Br
1.0
-9.153 -3.382 0.371
-8.703 -3.578 -2.610
-7.801 -5.820 -0.795
As Ir Br
1 2 1
Direct
0.523 0.523 0.523
0.993 0.993 0.993
0.253 0.253 0.253
0.731 0.731 0.731
```

Raw formation energy in eV per formula unit: 1.8
SG: R3m

=====

Record 16
First-principles (PBE-GGA) data for a geometry-optimized AsIr4Br structure, as listed in the Alexandria database.

The structure in POSCAR format:
```
AsIr4Br
1.0
0.517 3.046 4.317
1.816 4.967 -0.458
-3.279 4.105 0.761
As Ir Br
1 4 1
Direct
0.750 0.750 0.750
0.376 0.376 0.873
0.376 0.376 0.376
0.376 0.873 0.376
0.873 0.376 0.376
0.000 0.000 0.000
```

Raw formation energy in eV per formula unit: 6.3
SG: F-43m

=====

Record 17
First-principles (PBE-GGA) data for a geometry-optimized AsIrBr3 structure, as listed in the Alexandria database.

The structure in POSCAR format:
```
AsIrBr3
1.0
5.011 0.000 0.000
0.000 5.011 0.000
0.000 0.000 5.011
As Br Ir
1 3 1
Direct
0.500 0.500 0.500
0.000 0.500 0.000
0.000 0.000 0.500
0.500 0.000 0.000
0.000 0.000 0.000
```

Raw formation energy in eV per formula unit: 3.2
SG: Pm-3m

=====

Record 18
First-principles (PBE-GGA) data for a geometry-optimized AsIr2Br structure, as listed in the Alexandria database.

The structure in POSCAR format:
```
AsIr2Br
1.0
2.918 0.000 0.000
0.000 5.158 0.000
0.000 0.000 4.462
As Ir Br
1 2 1
Direct
0.500 0.000 0.500
0.500 0.500 0.000
0.000 0.000 0.000
0.000 0.500 0.500
```

Raw formation energy in eV per formula unit: 3.3
SG: Pmmm

=====

Record 19
First-principles (PBE-GGA) data for a geometry-optimized AsIr2Br structure, as listed in the Alexandria database.

The structure in POSCAR format:
```
AsIr2Br
1.0
-5.212 2.827 -1.542
-5.423 -2.403 -1.536
4.689 0.832 3.855
Ir Br As
2 1 1
Direct
0.743 0.243 0.500
0.962 0.962 0.000
0.254 0.754 0.500
0.541 0.541 0.000
```

Raw formation energy in eV per formula unit: 2.7
SG: Imm2

=====

Record 20
First-principles (PBE-GGA) data for a geometry-optimized AsIrBr structure, as listed in the Alexandria database.

The structure in POSCAR format:
```
AsIrBr
1.0
4.405 0.000 0.000
2.203 3.815 0.000
2.203 1.272 3.597
As Ir Br
1 1 1
Direct
0.000 0.000 0.000
0.750 0.750 0.750
0.500 0.500 0.500
```

Raw formation energy in eV per formula unit: 1.0
SG: F-43m

=====

Record 21
First-principles (PBE-GGA) data for a geometry-optimized AsIr2Br structure, as listed in the Alexandria database.

The structure in POSCAR format:
```
AsIr2Br
1.0
4.584 0.000 0.000
2.292 3.970 0.000
2.292 1.323 3.743
Ir As Br
2 1 1
Direct
0.000 0.000 0.000
0.250 0.250 0.250
0.500 0.500 0.500
0.750 0.750 0.750
```

Raw formation energy in eV per formula unit: 4.0
SG: F-43m

=====

Record 22
First-principles (PBE-GGA) data for a geometry-optimized As2IrBr2 structure, as listed in the Alexandria database.

The structure in POSCAR format:
```
As2IrBr2
1.0
3.488 0.000 0.000
0.000 3.488 0.000
1.744 1.744 10.987
As Ir Br
2 1 2
Direct
0.250 0.750 0.500
0.750 0.250 0.500
0.000 0.000 0.000
0.570 0.570 0.861
0.430 0.430 0.139
```

Raw formation energy in eV per formula unit: 4.1
SG: I4/mmm

=====

Record 23
First-principles (PBE-GGA) data for a geometry-optimized AsIr2Br structure, as listed in the Alexandria database.

The structure in POSCAR format:
```
AsIr2Br
1.0
-2.518 2.937 -0.360
-2.145 0.331 -3.223
-5.655 -2.233 1.294
Ir Br As
2 1 1
Direct
0.469 0.469 0.584
0.031 0.031 0.916
0.250 0.250 0.250
0.750 0.750 0.750
```

Raw formation energy in eV per formula unit: 1.7
SG: C2/m

=====

Record 24
First-principles (PBE-GGA) data for a geometry-optimized AsIr2Br structure, as listed in the Alexandria database.

The structure in POSCAR format:
```
AsIr2Br
1.0
-0.242 -1.897 2.438
-0.016 -2.445 -1.903
7.122 -0.371 0.418
Br As Ir
1 1 2
Direct
0.500 0.500 0.750
0.500 0.500 0.250
0.000 0.000 0.447
0.000 0.000 0.053
```

Raw formation energy in eV per formula unit: 2.5
SG: P4/mmm

=====

Record 25
First-principles (PBE-GGA) data for a geometry-optimized AsIrBr structure, as listed in the Alexandria database.

The structure in POSCAR format:
```
AsIrBr
1.0
-1.057 0.324 -3.546
0.711 -3.354 1.427
-5.387 -0.477 1.563
As Ir Br
1 1 1
Direct
0.000 0.000 0.898
0.333 0.667 0.702
0.667 0.333 0.400
```

Raw formation energy in eV per formula unit: -0.2
SG: P3m1

=====

Record 26
First-principles (PBE-GGA) data for a geometry-optimized AsIr2Br structure, as listed in the Alexandria database.

The structure in POSCAR format:
```
AsIr2Br
1.0
-1.658 2.004 -1.309
0.016 -1.937 -2.984
-6.280 -3.665 2.345
Ir As Br
2 1 1
Direct
0.000 0.000 0.046
0.500 0.500 0.239
0.000 0.000 0.401
0.500 0.500 0.814
```

Raw formation energy in eV per formula unit: 1.8
SG: Pmm2

=====

Record 27
First-principles (PBE-GGA) data for a geometry-optimized AsIr2Br structure, as listed in the Alexandria database.

The structure in POSCAR format:
```
AsIr2Br
1.0
4.658 0.037 0.000
-0.555 4.625 0.000
0.000 0.000 3.042
Ir Br As
2 1 1
Direct
0.000 0.000 0.000
0.500 0.500 0.000
0.000 0.500 0.500
0.500 0.000 0.500
```

Raw formation energy in eV per formula unit: 3.4
SG: Cmmm

=====

Record 28
First-principles (PBE-GGA) data for a geometry-optimized As2IrBr2 structure, as listed in the Alexandria database.

The structure in POSCAR format:
```
As2IrBr2
1.0
8.074 0.000 0.000
0.000 8.074 0.000
0.000 0.000 3.196
As Ir Br
4 2 4
Direct
0.309 0.191 0.500
0.691 0.809 0.500
0.809 0.309 0.500
0.191 0.691 0.500
0.000 0.000 0.000
0.500 0.500 0.000
0.629 0.129 0.000
0.371 0.871 0.000
0.129 0.371 0.000
0.871 0.629 0.000
```

Raw formation energy in eV per formula unit: 6.0
SG: P4/mbm

=====

Record 29
First-principles (PBE-GGA) data for a geometry-optimized AsIr2Br structure, as listed in the Alexandria database.

The structure in POSCAR format:
```
AsIr2Br
1.0
-0.610 -3.746 -2.469
-2.328 -3.486 1.713
-4.107 -0.996 -1.625
Br As Ir
1 1 2
Direct
0.500 0.500 0.500
0.000 0.000 0.000
0.250 0.250 0.250
0.750 0.750 0.750
```

Raw formation energy in eV per formula unit: 3.3
SG: Fm-3m

=====

Record 30
First-principles (PBE-GGA) data for a geometry-optimized AsIr2Br structure, as listed in the Alexandria database.

The structure in POSCAR format:
```
AsIr2Br
1.0
4.808 0.002 -0.022
3.972 2.710 -0.022
-0.750 -0.232 7.524
Ir Br As
2 1 1
Direct
0.796 0.796 0.798
0.071 0.071 0.878
0.172 0.172 0.205
0.461 0.461 0.619
```

Raw formation energy in eV per formula unit: 1.4
SG: Cm